Density functional theory data (PBE) for a relaxed PPdAu2 crystal.

Cell: 7.3634 7.3634 5.2064 Å, 90.00 90.00 90.00°
Element x y z (fractional)
P 0.0000 0.0000 0.0000
P 0.0000 0.5000 0.2500
P 0.5000 0.0000 0.7500
P 0.5000 0.5000 0.5000
Pd 0.0000 0.0000 0.5000
Pd 0.0000 0.5000 0.7500
Pd 0.5000 0.0000 0.2500
Pd 0.5000 0.5000 0.0000
Au 0.2072 0.2500 0.1250
Au 0.2500 0.7072 0.3750
Au 0.2500 0.7928 0.8750
Au 0.2928 0.2500 0.6250
Au 0.7072 0.7500 0.6250
Au 0.7500 0.2072 0.8750
Au 0.7500 0.2928 0.3750
Au 0.7928 0.7500 0.1250

## Properties
- size of the total moment (Bohr magnetons per cell) = 0.00
- volume (Å³ per cell) = 282.3
- crystal system = tetragonal
- energy of formation from the pure elements (eV per atom) = 0.09
- symmetry = I-42d, No. 122
- DOS(E_F) (states/eV per cell) = 8.1

Density functional theory data (PBE) for a relaxed ScTlBi3 crystal.

Cell: 5.6649 5.6649 5.6649 Å, 90.00 90.00 90.00°
Element x y z (fractional)
Sc 0.0000 0.0000 0.0000
Tl 0.5000 0.5000 0.5000
Bi 0.0000 0.0000 0.5000
Bi 0.0000 0.5000 0.0000
Bi 0.5000 0.0000 0.0000

## Properties
- size of the total moment (Bohr magnetons per cell) = 0.00
- volume (Å³ per cell) = 181.8
- crystal system = cubic
- energy of formation from the pure elements (eV per atom) = 0.05
- symmetry = Pm-3m, No. 221
- DOS(E_F) (states/eV per cell) = 3.7

Density functional theory data (PBE) for a relaxed Cu2AsIr crystal.

Cell: 7.0090 7.0090 4.8402 Å, 90.00 90.00 90.00°
Element x y z (fractional)
Cu 0.2346 0.2500 0.1250
Cu 0.2500 0.7346 0.3750
Cu 0.2500 0.7654 0.8750
Cu 0.2654 0.2500 0.6250
Cu 0.7346 0.7500 0.6250
Cu 0.7500 0.2346 0.8750
Cu 0.7500 0.2654 0.3750
Cu 0.7654 0.7500 0.1250
As 0.0000 0.0000 0.0000
As 0.0000 0.5000 0.2500
As 0.5000 0.0000 0.7500
As 0.5000 0.5000 0.5000
Ir 0.0000 0.0000 0.5000
Ir 0.0000 0.5000 0.7500
Ir 0.5000 0.0000 0.2500
Ir 0.5000 0.5000 0.0000

## Properties
- size of the total moment (Bohr magnetons per cell) = 0.00
- volume (Å³ per cell) = 237.8
- crystal system = tetragonal
- energy of formation from the pure elements (eV per atom) = 0.31
- symmetry = I-42d, No. 122
- DOS(E_F) (states/eV per cell) = 7.0

Density functional theory data (PBE) for a relaxed SmAsHIr crystal.

Cell: 4.0623 4.0623 9.7209 Å, 90.00 90.00 120.00°
Element x y z (fractional)
Sm 0.3333 0.6667 0.0000
Sm 0.6667 0.3333 0.5000
As 0.3333 0.6667 0.6867
As 0.6667 0.3333 0.1867
H 0.0000 0.0000 0.4336
H 0.0000 0.0000 0.9336
Ir 0.0000 0.0000 0.2591
Ir 0.0000 0.0000 0.7591

## Properties
- size of the total moment (Bohr magnetons per cell) = 0.00
- volume (Å³ per cell) = 138.9
- crystal system = hexagonal
- symmetry = P6_3mc, No. 186
- DOS(E_F) (states/eV per cell) = 6.2
- raw total energy (hartree per atom) = -0.223